--- a ---
The following is a GGA-PBE calculation of a geometry-optimized ZrScC2 structure, from the Alexandria database.

a = 5.768 Å, b = 3.324 Å, c = 5.761 Å
α = 90.00°, β = 109.39°, γ = 90.00°
Space group C2/m (No. 12)
Symmetry-distinct sites (fractional):
Zr 0.000 0.000 0.000 [2 per cell]
Sc 0.000 0.500 0.500 [2 per cell]
C 0.249 0.500 0.246 [4 per cell]

Results
**V**: 104.2 Å³ per cell
**Mass density**: 5.11 g/cm³
**Spin magnetization**: 0.000 Bohr magnetons per cell
**Density of states at the Fermi level**: 4.5 states/eV per cell

--- b ---
The following is a GGA-PBE calculation of a geometry-optimized ZrScC2 structure, from the Alexandria database.

a = 5.815 Å, b = 5.815 Å, c = 5.815 Å
α = 90.00°, β = 90.00°, γ = 90.00°
Space group Fm-3m (No. 225)
Symmetry-distinct sites (fractional):
Zr 0.000 0.000 0.000 [4 per cell]
Sc 0.000 0.000 0.500 [4 per cell]
C 0.250 0.250 0.250 [8 per cell]

Results
**V**: 196.6 Å³ per cell
**Mass density**: 5.41 g/cm³
**Spin magnetization**: 0.000 Bohr magnetons per cell
**Density of states at the Fermi level**: 17.4 states/eV per cell

Which of them is most stable? Easy: a.

--- a ---
The following is a GGA-PBE calculation of a geometry-optimized Zr2ScC2 structure, from the Alexandria database.

a = 3.374 Å, b = 4.710 Å, c = 9.927 Å
α = 90.00°, β = 90.00°, γ = 90.00°
Space group Immm (No. 71)
Symmetry-distinct sites (fractional):
Zr 0.000 0.000 0.178 [4 per cell]
Sc 0.000 0.000 0.500 [2 per cell]
C 0.000 0.500 0.170 [4 per cell]

Results
**V**: 157.8 Å³ per cell
**Mass density**: 5.29 g/cm³
**Spin magnetization**: 0.000 Bohr magnetons per cell
**Density of states at the Fermi level**: 3.9 states/eV per cell

--- b ---
The following is a GGA-PBE calculation of a geometry-optimized Zr2ScC2 structure, from the Alexandria database.

a = 3.3567 Å, b = 3.3567 Å, c = 24.4607 Å
α = 90.00°, β = 90.00°, γ = 120.00°
Space group R-3m (No. 166, hexagonal axes)
Symmetry-distinct sites (fractional):
Zr 0.0000 0.0000 0.2285 [6 per cell]
Sc 0.0000 0.0000 0.0000 [3 per cell]
C 0.0000 0.0000 0.3928 [6 per cell]

Results
**V**: 238.7 Å³ per cell
**Mass density**: 5.25 g/cm³
**Spin magnetization**: 0.000 Bohr magnetons per cell
**Density of states at the Fermi level**: 10.3 states/eV per cell

Which of them is most stable? Easy: a.

--- a ---
The following is a GGA-PBE calculation of a geometry-optimized CSe structure, from the Alexandria database.

a = 2.986 Å, b = 2.986 Å, c = 4.367 Å
α = 90.00°, β = 90.00°, γ = 90.00°
Space group P4/mmm (No. 123)
Symmetry-distinct sites (fractional):
C 0.000 0.000 0.000 [1 per cell]
Se 0.500 0.500 0.000 [1 per cell]

Results
**V**: 38.9 Å³ per cell
**Mass density**: 3.88 g/cm³
**Spin magnetization**: 0.000 Bohr magnetons per cell
**Density of states at the Fermi level**: 0.6 states/eV per cell

--- b ---
The following is a GGA-PBE calculation of a geometry-optimized CSe structure, from the Alexandria database.

a = 6.685 Å, b = 5.362 Å, c = 5.427 Å
α = 90.00°, β = 100.24°, γ = 90.00°
Space group C2 (No. 5)
Symmetry-distinct sites (fractional):
C 0.103 0.000 0.000 [4 per cell]
Se 0.223 0.749 0.817 [4 per cell]

Results
**V**: 191.4 Å³ per cell
**Mass density**: 3.16 g/cm³
**Spin magnetization**: 0.000 Bohr magnetons per cell
**Density of states at the Fermi level**: 1.1 states/eV per cell

--- c ---
The following is a GGA-PBE calculation of a geometry-optimized CSe structure, from the Alexandria database.

a = 4.939 Å, b = 6.768 Å, c = 9.890 Å
α = 90.00°, β = 90.00°, γ = 90.00°
Space group P2_12_12_1 (No. 19)
Symmetry-distinct sites (fractional):
C 0.122 0.000 0.172 [4 per cell]
C 0.124 0.380 0.976 [4 per cell]
Se 0.234 0.095 0.000 [4 per cell]
Se 0.245 0.492 0.316 [4 per cell]

Results
**V**: 330.6 Å³ per cell
**Mass density**: 3.66 g/cm³
**Spin magnetization**: 0.000 Bohr magnetons per cell

Which of them is most stable? Easy: b.

--- a ---
The following is a GGA-PBE calculation of a geometry-optimized CSe structure, from the Alexandria database.

a = 2.695 Å, b = 2.695 Å, c = 8.024 Å
α = 90.00°, β = 90.00°, γ = 90.00°
Space group P4/nmm (No. 129, origin choice 2)
Symmetry-distinct sites (fractional):
C 0.250 0.250 0.023 [2 per cell]
Se 0.250 0.250 0.269 [2 per cell]

Results
**V**: 58.3 Å³ per cell
**Mass density**: 5.18 g/cm³
**Spin magnetization**: 0.000 Bohr magnetons per cell
**Density of states at the Fermi level**: 2.7 states/eV per cell

--- b ---
The following is a GGA-PBE calculation of a geometry-optimized CSe structure, from the Alexandria database.

a = 3.003 Å, b = 7.984 Å, c = 3.002 Å
α = 90.00°, β = 90.00°, γ = 90.00°
Space group Cmmm (No. 65)
Symmetry-distinct sites (fractional):
C 0.000 0.000 0.000 [2 per cell]
Se 0.000 0.500 0.500 [2 per cell]

Results
**V**: 72.0 Å³ per cell
**Mass density**: 4.20 g/cm³
**Spin magnetization**: 1.041 Bohr magnetons per cell
**Density of states at the Fermi level**: 3.0 states/eV per cell

Which of them is most stable? Easy: a.

--- a ---
The following is a GGA-PBE calculation of a geometry-optimized CSe structure, from the Alexandria database.

a = 3.073 Å, b = 13.540 Å, c = 4.923 Å
α = 90.00°, β = 90.00°, γ = 90.00°
Space group Pmmn (No. 59, origin choice 2)
Symmetry-distinct sites (fractional):
C 0.250 0.078 0.043 [4 per cell]
C 0.250 0.750 0.386 [2 per cell]
Se 0.250 0.250 0.372 [2 per cell]
Se 0.250 0.566 0.206 [4 per cell]

Results
**V**: 204.8 Å³ per cell
**Mass density**: 4.43 g/cm³
**Spin magnetization**: 0.000 Bohr magnetons per cell
**Density of states at the Fermi level**: 2.9 states/eV per cell

--- b ---
The following is a GGA-PBE calculation of a geometry-optimized CSe structure, from the Alexandria database.

a = 3.9439 Å, b = 3.9439 Å, c = 4.8240 Å
α = 90.00°, β = 90.00°, γ = 120.00°
Space group P6_3mc (No. 186)
Symmetry-distinct sites (fractional):
C 0.3333 0.6667 0.0000 [2 per cell]
Se 0.3333 0.6667 0.3996 [2 per cell]

Results
**V**: 65.0 Å³ per cell
**Mass density**: 4.65 g/cm³
**Spin magnetization**: 0.000 Bohr magnetons per cell
**Density of states at the Fermi level**: 1.2 states/eV per cell

Which of them is most stable? Easy: a.

--- a ---
The following is a GGA-PBE calculation of a geometry-optimized CSe structure, from the Alexandria database.

a = 4.933 Å, b = 4.933 Å, c = 4.933 Å
α = 90.00°, β = 90.00°, γ = 90.00°
Space group P2_13 (No. 198)
Symmetry-distinct sites (fractional):
C 0.084 0.416 0.584 [4 per cell]
Se 0.042 0.542 0.958 [4 per cell]

Results
**V**: 120.0 Å³ per cell
**Mass density**: 5.03 g/cm³
**Spin magnetization**: 0.000 Bohr magnetons per cell

--- b ---
The following is a GGA-PBE calculation of a geometry-optimized CSe structure, from the Alexandria database.

a = 4.182 Å, b = 5.084 Å, c = 5.141 Å
α = 74.24°, β = 90.00°, γ = 89.69°
Space group P1 (No. 1)
Symmetry-distinct sites (fractional):
C 0.000 0.000 0.000 [1 per cell]
C 0.313 0.000 0.000 [1 per cell]
Se 0.155 0.229 0.642 [1 per cell]
Se 0.657 0.986 0.240 [1 per cell]

Results
**V**: 105.2 Å³ per cell
**Mass density**: 2.87 g/cm³
**Spin magnetization**: 0.000 Bohr magnetons per cell

--- c ---
The following is a GGA-PBE calculation of a geometry-optimized CSe structure, from the Alexandria database.

a = 14.082 Å, b = 3.039 Å, c = 4.975 Å
α = 90.00°, β = 108.10°, γ = 90.00°
Space group C2/m (No. 12)
Symmetry-distinct sites (fractional):
C 0.050 0.000 0.050 [4 per cell]
Se 0.139 0.500 0.140 [4 per cell]

Results
**V**: 202.4 Å³ per cell
**Mass density**: 2.99 g/cm³
**Spin magnetization**: 0.000 Bohr magnetons per cell

Which of them is most stable? Easy: c.

--- a ---
The following is a GGA-PBE calculation of a geometry-optimized CSe structure, from the Alexandria database.

a = 10.937 Å, b = 10.937 Å, c = 3.001 Å
α = 90.00°, β = 90.00°, γ = 90.00°
Space group I4/m (No. 87)
Symmetry-distinct sites (fractional):
C 0.112 0.654 0.000 [8 per cell]
Se 0.071 0.312 0.000 [8 per cell]

Results
**V**: 359.0 Å³ per cell
**Mass density**: 3.37 g/cm³
**Spin magnetization**: 0.000 Bohr magnetons per cell

--- b ---
The following is a GGA-PBE calculation of a geometry-optimized CSe structure, from the Alexandria database.

a = 5.802 Å, b = 9.726 Å, c = 3.517 Å
α = 90.00°, β = 90.00°, γ = 90.00°
Space group Cmmm (No. 65)
Symmetry-distinct sites (fractional):
C 0.000 0.064 0.000 [4 per cell]
Se 0.000 0.248 0.000 [4 per cell]

Results
**V**: 198.5 Å³ per cell
**Mass density**: 3.04 g/cm³
**Spin magnetization**: 0.000 Bohr magnetons per cell
**Density of states at the Fermi level**: 2.2 states/eV per cell

Which of them is most stable? Easy: b.

--- a ---
The following is a GGA-PBE calculation of a geometry-optimized CSe structure, from the Alexandria database.

a = 2.959 Å, b = 2.959 Å, c = 2.959 Å
α = 90.00°, β = 90.00°, γ = 90.00°
Space group Pm-3m (No. 221)
Symmetry-distinct sites (fractional):
C 0.000 0.000 0.000 [1 per cell]
Se 0.500 0.500 0.500 [1 per cell]

Results
**V**: 25.9 Å³ per cell
**Mass density**: 5.83 g/cm³
**Spin magnetization**: 0.000 Bohr magnetons per cell
**Density of states at the Fermi level**: 2.1 states/eV per cell

--- b ---
The following is a GGA-PBE calculation of a geometry-optimized CSe structure, from the Alexandria database.

a = 4.3795 Å, b = 4.3795 Å, c = 8.1307 Å
α = 90.00°, β = 90.00°, γ = 120.00°
Space group P6_3/mmc (No. 194)
Symmetry-distinct sites (fractional):
C 0.3333 0.6667 0.0050 [4 per cell]
Se 0.0000 0.0000 0.2500 [2 per cell]
Se 0.3333 0.6667 0.2500 [2 per cell]

Results
**V**: 135.1 Å³ per cell
**Mass density**: 4.47 g/cm³
**Spin magnetization**: 0.000 Bohr magnetons per cell
**Density of states at the Fermi level**: 3.8 states/eV per cell

--- c ---
The following is a GGA-PBE calculation of a geometry-optimized CSe structure, from the Alexandria database.

a = 4.397 Å, b = 4.397 Å, c = 4.397 Å
α = 90.00°, β = 90.00°, γ = 90.00°
Space group Pm-3m (No. 221)
Symmetry-distinct sites (fractional):
C 0.000 0.000 0.500 [3 per cell]
Se 0.000 0.500 0.500 [3 per cell]

Results
**V**: 85.0 Å³ per cell
**Mass density**: 5.33 g/cm³
**Spin magnetization**: 0.002 Bohr magnetons per cell
**Density of states at the Fermi level**: 4.9 states/eV per cell

--- d ---
The following is a GGA-PBE calculation of a geometry-optimized CSe structure, from the Alexandria database.

a = 6.1615 Å, b = 6.1615 Å, c = 8.2019 Å
α = 90.00°, β = 90.00°, γ = 120.00°
Space group R-3m (No. 166, hexagonal axes)
Symmetry-distinct sites (fractional):
C 0.0000 0.0000 0.0777 [6 per cell]
Se 0.0000 0.0000 0.2896 [6 per cell]

Results
**V**: 269.7 Å³ per cell
**Mass density**: 3.36 g/cm³
**Spin magnetization**: 0.000 Bohr magnetons per cell
**Density of states at the Fermi level**: 7.6 states/eV per cell

Which of them is most stable? Easy: d.

--- a ---
The following is a GGA-PBE calculation of a geometry-optimized C2Se structure, from the Alexandria database.

a = 4.2323 Å, b = 4.2323 Å, c = 4.1924 Å
α = 90.00°, β = 90.00°, γ = 120.00°
Space group P6_3/mmc (No. 194)
Symmetry-distinct sites (fractional):
C 0.0000 0.0000 0.0000 [2 per cell]
C 0.3333 0.6667 0.2500 [2 per cell]
Se 0.3333 0.6667 0.7500 [2 per cell]

Results
**V**: 65.0 Å³ per cell
**Mass density**: 5.26 g/cm³
**Spin magnetization**: 0.000 Bohr magnetons per cell
**Density of states at the Fermi level**: 2.8 states/eV per cell

--- b ---
The following is a GGA-PBE calculation of a geometry-optimized C2Se structure, from the Alexandria database.

a = 2.5579 Å, b = 2.5579 Å, c = 8.5271 Å
α = 90.00°, β = 90.00°, γ = 120.00°
Space group P6/mmm (No. 191)
Symmetry-distinct sites (fractional):
C 0.3333 0.6667 0.0000 [2 per cell]
Se 0.0000 0.0000 0.5000 [1 per cell]

Results
**V**: 48.3 Å³ per cell
**Mass density**: 3.54 g/cm³
**Spin magnetization**: 0.001 Bohr magnetons per cell
**Density of states at the Fermi level**: 1.9 states/eV per cell

Which of them is most stable? Easy: b.

--- a ---
The following is a GGA-PBE calculation of a geometry-optimized C2Se structure, from the Alexandria database.

a = 3.5269 Å, b = 3.5269 Å, c = 12.4123 Å
α = 90.00°, β = 90.00°, γ = 120.00°
Space group P-3m1 (No. 164)
Symmetry-distinct sites (fractional):
C 0.0000 0.0000 0.0515 [2 per cell]
C 0.3333 0.6667 0.5885 [2 per cell]
C 0.3333 0.6667 0.6944 [2 per cell]
Se 0.0000 0.0000 0.5000 [1 per cell]
Se 0.3333 0.6667 0.8345 [2 per cell]

Results
**V**: 133.7 Å³ per cell
**Mass density**: 3.84 g/cm³
**Spin magnetization**: 0.000 Bohr magnetons per cell
**Density of states at the Fermi level**: 3.8 states/eV per cell

--- b ---
The following is a GGA-PBE calculation of a geometry-optimized C2Se structure, from the Alexandria database.

a = 21.648 Å, b = 2.756 Å, c = 4.779 Å
α = 90.00°, β = 98.91°, γ = 90.00°
Space group C2/m (No. 12)
Symmetry-distinct sites (fractional):
C 0.027 0.000 0.449 [4 per cell]
C 0.250 0.000 0.000 [4 per cell]
Se 0.077 0.500 0.352 [4 per cell]

Results
**V**: 281.7 Å³ per cell
**Mass density**: 2.43 g/cm³
**Spin magnetization**: 0.000 Bohr magnetons per cell
**Density of states at the Fermi level**: 4.5 states/eV per cell

Which of them is most stable? Easy: b.

--- a ---
The following is a GGA-PBE calculation of a geometry-optimized C2Se structure, from the Alexandria database.

a = 9.120 Å, b = 2.496 Å, c = 9.586 Å
α = 90.00°, β = 104.24°, γ = 90.00°
Space group C2/m (No. 12)
Symmetry-distinct sites (fractional):
C 0.013 0.000 0.426 [4 per cell]
C 0.025 0.500 0.361 [4 per cell]
Se 0.054 0.000 0.136 [4 per cell]

Results
**V**: 211.5 Å³ per cell
**Mass density**: 3.23 g/cm³
**Spin magnetization**: 0.000 Bohr magnetons per cell
**Density of states at the Fermi level**: 1.9 states/eV per cell

--- b ---
The following is a GGA-PBE calculation of a geometry-optimized C2Se structure, from the Alexandria database.

a = 2.425 Å, b = 2.425 Å, c = 8.254 Å
α = 90.00°, β = 90.00°, γ = 90.00°
Space group P4/mmm (No. 123)
Symmetry-distinct sites (fractional):
C 0.000 0.500 0.000 [2 per cell]
Se 0.000 0.000 0.500 [1 per cell]

Results
**V**: 48.5 Å³ per cell
**Mass density**: 3.52 g/cm³
**Spin magnetization**: 0.000 Bohr magnetons per cell
**Density of states at the Fermi level**: 1.2 states/eV per cell

Which of them is most stable? Easy: a.